The following is a DFT calculation (GGA-PBE) of TmZn2 after structural relaxation.

**Formation energy from the elements**: -0.23 eV/atom
**Total energy**: -2.57 eV/atom
**Total magnetization**: 0.00 μB per cell

```
data_TmZn2
_chemical_formula_sum 'Tm4 Zn8'
_space_group_name_H-M_alt 'C m c m'
_space_group_IT_number 63
_space_group_name_Hall '-C 2c 2'
_cell_length_a 3.5100
_cell_length_b 13.6124
_cell_length_c 4.7758
_cell_angle_alpha 90.00
_cell_angle_beta 90.00
_cell_angle_gamma 90.00
loop_
_atom_site_label
_atom_site_fract_x
_atom_site_fract_y
_atom_site_fract_z
Tm1 0.0000 0.0888 0.2500
Zn1 0.0000 0.2401 0.7500
Zn2 0.0000 0.4013 0.2500
```